[1]
Here is a relaxed structure of Pr5HoPb6 from Alexandria via LeMat-Bulk. Energies are from PBE.

Values from the calculation:
The energy of formation from the pure elements comes out at -42.58 kJ per mole of atoms. As for the space-group type: C2/m. The calculation puts the volume at 33.2 A^3/atom. Its relative energy among the computed polymorphs is 61 meV/atom.

Unit cell a=8.448 b=8.398 c=7.099 alpha=53.74 beta=83.64 gamma=79.20
Fractional coordinates of all 12 atoms:
Pb 0.246 0.245 0.000
Pb 0.247 0.594 0.319
Pb 0.754 0.755 0.000
Pb 0.247 0.913 0.681
Pb 0.753 0.406 0.681
Pb 0.753 0.087 0.319
Pr 0.000 0.331 0.339
Pr 0.500 0.500 0.000
Pr 0.500 0.169 0.662
Pr 0.500 0.831 0.338
Pr 0.000 0.669 0.661
Ho 0.000 0.000 0.000


[2]
Here is a relaxed structure of Pr2HoPb3 from Alexandria via LeMat-Bulk. Energies are from PBE.

Values from the calculation:
The energy of formation from the pure elements comes out at -47.10 kJ per mole of atoms. As for the space-group type: Cmmm. The calculation puts the volume at 29.8 A^3/atom. Its relative energy among the computed polymorphs is 0 meV/atom.

Unit cell a=5.046 b=8.097 c=9.196 alpha=90.00 beta=90.00 gamma=71.84
Fractional coordinates of all 12 atoms:
Pb 0.169 0.663 0.757
Pb 0.831 0.337 0.757
Pb 0.500 0.000 0.756
Pb 0.831 0.337 0.243
Pb 0.500 0.000 0.244
Pb 0.169 0.663 0.243
Pr 0.333 0.334 0.500
Pr 0.000 0.000 0.000
Pr 0.000 0.000 0.500
Pr 0.667 0.666 0.500
Ho 0.669 0.663 0.000
Ho 0.331 0.337 0.000


[3]
Here is a relaxed structure of Pr2Ho3Pb from Alexandria via LeMat-Bulk. Energies are from PBE.

Values from the calculation:
The energy of formation from the pure elements comes out at -15.58 kJ per mole of atoms. As for the space-group type: Cmmm. The calculation puts the volume at 31.3 A^3/atom.

Unit cell a=4.960 b=4.915 c=8.089 alpha=107.69 beta=90.00 gamma=90.00
Fractional coordinates of all 6 atoms:
Pr 0.000 0.662 0.323
Pr 0.000 0.338 0.677
Ho 0.500 0.835 0.670
Ho 0.500 0.165 0.330
Ho 0.500 0.500 0.000
Pb 0.000 0.000 0.000


[4]
Here is a relaxed structure of Pr5HoPb6 from Alexandria via LeMat-Bulk. Energies are from PBE.

Values from the calculation:
The energy of formation from the pure elements comes out at -48.51 kJ per mole of atoms. As for the space-group type: C2/m. The calculation puts the volume at 30.3 A^3/atom. Its relative energy among the computed polymorphs is 0 meV/atom.

Unit cell a=5.084 b=9.256 c=9.361 alpha=60.37 beta=74.05 gamma=90.00
Fractional coordinates of all 12 atoms:
Pb 0.164 0.413 0.671
Pb 0.836 0.083 0.329
Pb 0.500 0.246 0.000
Pb 0.500 0.754 0.000
Pb 0.164 0.917 0.671
Pb 0.836 0.587 0.329
Pr 0.334 0.333 0.333
Pr 0.000 0.500 0.000
Pr 0.664 0.164 0.672
Pr 0.666 0.667 0.667
Pr 0.336 0.836 0.328
Ho 0.000 0.000 0.000


[5]
Here is a relaxed structure of Pr2HoPb9 from Alexandria via LeMat-Bulk. Energies are from PBE.

Values from the calculation:
The energy of formation from the pure elements comes out at -33.22 kJ per mole of atoms. As for the space-group type: P4/mmm. The calculation puts the volume at 29.8 A^3/atom.

Unit cell a=4.926 b=4.926 c=14.746 alpha=90.00 beta=90.00 gamma=90.00
Fractional coordinates of all 12 atoms:
Pb 0.500 0.500 0.669
Pb 0.500 0.500 0.000
Pb 0.500 0.500 0.331
Pb 0.500 0.000 0.162
Pb 0.000 0.500 0.500
Pb 0.000 0.500 0.838
Pb 0.000 0.500 0.162
Pb 0.500 0.000 0.500
Pb 0.500 0.000 0.838
Pr 0.000 0.000 0.332
Pr 0.000 0.000 0.668
Ho 0.000 0.000 0.000


[6]
Here is a relaxed structure of PrHoPb2 from Alexandria via LeMat-Bulk. Energies are from PBE.

Values from the calculation:
The energy of formation from the pure elements comes out at -32.95 kJ per mole of atoms. As for the space-group type: R3m. The calculation puts the volume at 34.4 A^3/atom.

Unit cell a=4.813 b=4.813 c=7.394 alpha=71.00 beta=71.00 gamma=60.00
Fractional coordinates of all 4 atoms:
Pb 0.246 0.246 0.263
Pb 0.089 0.089 0.733
Pr 0.671 0.671 0.986
Ho 0.494 0.494 0.517


[7]
Here is a relaxed structure of PrHoPb2 from Alexandria via LeMat-Bulk. Energies are from PBE.

Values from the calculation:
The energy of formation from the pure elements comes out at -36.88 kJ per mole of atoms. As for the space-group type: Pnma. The calculation puts the volume at 31.9 A^3/atom.

Unit cell a=3.694 b=8.170 c=16.921 alpha=90.00 beta=90.00 gamma=90.00
Fractional coordinates of all 16 atoms:
Pb 0.250 0.300 0.252
Pb 0.250 0.239 0.998
Pb 0.750 0.761 0.002
Pb 0.750 0.200 0.752
Pb 0.250 0.800 0.248
Pb 0.750 0.261 0.498
Pb 0.250 0.739 0.502
Pb 0.750 0.700 0.748
Ho 0.250 0.045 0.390
Ho 0.750 0.455 0.890
Ho 0.750 0.955 0.610
Ho 0.250 0.545 0.110
Pr 0.750 0.554 0.367
Pr 0.750 0.054 0.133
Pr 0.250 0.446 0.633
Pr 0.250 0.946 0.867


[8]
Here is a relaxed structure of Pr5HoPb4 from Alexandria via LeMat-Bulk. Energies are from PBE.

Values from the calculation:
The energy of formation from the pure elements comes out at -36.41 kJ per mole of atoms. As for the space-group type: C2/m. The calculation puts the volume at 34.6 A^3/atom.

Unit cell a=5.522 b=7.381 c=11.497 alpha=129.14 beta=103.89 gamma=90.00
Fractional coordinates of all 10 atoms:
Ho 0.500 0.000 0.000
Pr 0.167 0.327 0.334
Pr 0.833 0.673 0.666
Pr 0.834 0.165 0.667
Pr 0.500 0.500 0.000
Pr 0.166 0.835 0.333
Pb 0.992 0.741 0.984
Pb 0.673 0.098 0.346
Pb 0.327 0.902 0.654
Pb 0.008 0.259 0.016


[9]
Here is a relaxed structure of PrHoPb2 from Alexandria via LeMat-Bulk. Energies are from PBE.

Values from the calculation:
The energy of formation from the pure elements comes out at -45.19 kJ per mole of atoms. As for the space-group type: P4/mmm. The calculation puts the volume at 29.3 A^3/atom.

Unit cell a=3.586 b=3.586 c=9.108 alpha=90.00 beta=90.00 gamma=90.00
Fractional coordinates of all 4 atoms:
Pr 0.500 0.500 0.500
Ho 0.500 0.500 0.000
Pb 0.000 0.000 0.760
Pb 0.000 0.000 0.240


[10]
Here is a relaxed structure of PrHoPb2 from Alexandria via LeMat-Bulk. Energies are from PBE.

Values from the calculation:
The energy of formation from the pure elements comes out at -34.88 kJ per mole of atoms. As for the space-group type: R-3m. The calculation puts the volume at 31.5 A^3/atom.

Unit cell a=3.911 b=3.911 c=9.763 alpha=78.44 beta=78.44 gamma=60.00
Fractional coordinates of all 4 atoms:
Ho 0.500 0.500 0.500
Pb 0.247 0.247 0.259
Pb 0.753 0.753 0.741
Pr 0.000 0.000 0.000


[11]
Here is a relaxed structure of Pr9HoPb2 from Alexandria via LeMat-Bulk. Energies are from PBE.

Values from the calculation:
The energy of formation from the pure elements comes out at -20.42 kJ per mole of atoms. As for the space-group type: P4/mmm. The calculation puts the volume at 33.0 A^3/atom.

Unit cell a=5.051 b=5.051 c=15.541 alpha=90.00 beta=90.00 gamma=90.00
Fractional coordinates of all 12 atoms:
Pr 0.500 0.500 0.662
Pr 0.500 0.500 0.000
Pr 0.000 0.500 0.500
Pr 0.000 0.500 0.828
Pr 0.500 0.500 0.338
Pr 0.500 0.000 0.172
Pr 0.000 0.500 0.172
Pr 0.500 0.000 0.828
Pr 0.500 0.000 0.500
Ho 0.000 0.000 0.000
Pb 0.000 0.000 0.337
Pb 0.000 0.000 0.663


[12]
Here is a relaxed structure of PrHoPb2 from Alexandria via LeMat-Bulk. Energies are from PBE.

Values from the calculation:
The energy of formation from the pure elements comes out at -44.68 kJ per mole of atoms. As for the space-group type: P4/mmm. The calculation puts the volume at 29.3 A^3/atom.

Unit cell a=4.553 b=5.078 c=5.078 alpha=90.00 beta=90.00 gamma=90.00
Fractional coordinates of all 4 atoms:
Pr 0.500 0.000 0.000
Pb 0.000 0.500 0.000
Pb 0.000 0.000 0.500
Ho 0.500 0.500 0.500


[13]
Here is a relaxed structure of Pr2HoPb3 from Alexandria via LeMat-Bulk. Energies are from PBE.

Values from the calculation:
The energy of formation from the pure elements comes out at -40.37 kJ per mole of atoms. As for the space-group type: C2/c. The calculation puts the volume at 32.5 A^3/atom. Its relative energy among the computed polymorphs is 70 meV/atom.

Unit cell a=6.462 b=7.492 c=8.880 alpha=102.11 beta=111.34 gamma=90.00
Fractional coordinates of all 12 atoms:
Pb 0.840 0.419 0.677
Pb 0.508 0.250 0.000
Pb 0.163 0.081 0.323
Pb 0.492 0.750 0.000
Pb 0.837 0.919 0.677
Pb 0.160 0.581 0.323
Pr 0.666 0.584 0.336
Pr 0.334 0.416 0.664
Pr 0.670 0.084 0.336
Pr 0.330 0.916 0.664
Ho 0.007 0.250 0.000
Ho 0.993 0.750 0.000


[14]
Here is a relaxed structure of Pr7HoPb4 from Alexandria via LeMat-Bulk. Energies are from PBE.

Values from the calculation:
The energy of formation from the pure elements comes out at -16.55 kJ per mole of atoms. As for the space-group type: C2/m. The calculation puts the volume at 33.9 A^3/atom.

Unit cell a=6.026 b=9.745 c=7.911 alpha=78.37 beta=67.61 gamma=71.99
Fractional coordinates of all 12 atoms:
Pb 0.564 0.240 0.631
Pb 0.299 0.329 0.074
Pb 0.701 0.671 0.926
Pb 0.436 0.760 0.369
Ho 0.000 0.000 0.000
Pr 0.304 0.621 0.771
Pr 0.500 0.000 0.000
Pr 0.696 0.379 0.229
Pr 0.946 0.370 0.738
Pr 0.054 0.630 0.262
Pr 0.208 0.107 0.476
Pr 0.792 0.893 0.524


[15]
Here is a relaxed structure of PrHo3Pb3 from Alexandria via LeMat-Bulk. Energies are from PBE.

Values from the calculation:
The energy of formation from the pure elements comes out at -36.08 kJ per mole of atoms. As for the space-group type: P6_3/m. The calculation puts the volume at 29.9 A^3/atom.

Unit cell a=5.557 b=9.320 c=9.320 alpha=120.00 beta=90.00 gamma=90.00
Fractional coordinates of all 14 atoms:
Ho 0.750 0.765 0.994
Ho 0.250 0.994 0.229
Ho 0.750 0.229 0.235
Ho 0.750 0.006 0.771
Ho 0.250 0.771 0.765
Ho 0.250 0.235 0.006
Pb 0.250 0.372 0.448
Pb 0.750 0.924 0.372
Pb 0.750 0.448 0.076
Pb 0.250 0.076 0.628
Pb 0.250 0.552 0.924
Pb 0.750 0.628 0.552
Pr 0.750 0.333 0.667
Pr 0.250 0.667 0.333


[16]
Here is a relaxed structure of PrHoPb2 from Alexandria via LeMat-Bulk. Energies are from PBE.

Values from the calculation:
The energy of formation from the pure elements comes out at -48.46 kJ per mole of atoms. As for the space-group type: Pm. The calculation puts the volume at 30.8 A^3/atom.

Unit cell a=4.601 b=4.510 c=6.359 alpha=90.00 beta=111.14 gamma=90.00
Fractional coordinates of all 4 atoms:
Ho 0.453 0.500 0.443
Pb 0.180 0.500 0.901
Pb 0.985 0.000 0.507
Pr 0.713 0.000 0.967


[17]
Here is a relaxed structure of Pr3HoPb2 from Alexandria via LeMat-Bulk. Energies are from PBE.

Values from the calculation:
The energy of formation from the pure elements comes out at -42.06 kJ per mole of atoms. As for the space-group type: P-4m2. The calculation puts the volume at 32.8 A^3/atom. Its relative energy among the computed polymorphs is 0 meV/atom.

Unit cell a=4.701 b=4.701 c=8.900 alpha=90.00 beta=90.00 gamma=90.00
Fractional coordinates of all 6 atoms:
Pr 0.000 0.000 0.000
Pr 0.000 0.500 0.654
Pr 0.500 0.000 0.346
Pb 0.000 0.500 0.280
Pb 0.500 0.000 0.720
Ho 0.500 0.500 0.000


[18]
Here is a relaxed structure of PrSmHoPb from Alexandria via LeMat-Bulk. Energies are from PBE.

Values from the calculation:
The energy of formation from the pure elements comes out at -13.82 kJ per mole of atoms. As for the space-group type: F-43m. The calculation puts the volume at 30.8 A^3/atom.

Unit cell a=5.585 b=5.585 c=5.585 alpha=60.00 beta=60.00 gamma=60.00
Fractional coordinates of all 4 atoms:
Ho 0.750 0.750 0.750
Sm 0.500 0.500 0.500
Pr 0.000 0.000 0.000
Pb 0.250 0.250 0.250


[19]
Here is a relaxed structure of Tb6Pr2Ho3Pb from Alexandria via LeMat-Bulk. Energies are from PBE.

Values from the calculation:
The energy of formation from the pure elements comes out at -6.50 kJ per mole of atoms. As for the space-group type: C2/m. The calculation puts the volume at 31.5 A^3/atom.

Unit cell a=6.127 b=6.127 c=11.820 alpha=94.97 beta=94.97 gamma=120.02
Fractional coordinates of all 12 atoms:
Ho 0.500 0.500 0.500
Ho 0.168 0.832 0.500
Ho 0.832 0.168 0.500
Tb 0.916 0.590 0.748
Tb 0.242 0.242 0.747
Tb 0.084 0.410 0.252
Tb 0.758 0.758 0.253
Tb 0.410 0.084 0.252
Tb 0.590 0.916 0.748
Pb 0.000 0.000 0.000
Pr 0.334 0.666 0.000
Pr 0.666 0.334 0.000


[20]
Here is a relaxed structure of PrHoTePb from Alexandria via LeMat-Bulk. Energies are from PBE.

Values from the calculation:
As for the space-group type: R3m. The uncorrected formation energy comes out at -3.86 eV/f.u. The calculation puts the volume at 32.1 A^3/atom.

Unit cell a=4.496 b=4.496 c=7.785 alpha=73.22 beta=73.22 gamma=60.00
Fractional coordinates of all 4 atoms:
Ho 0.442 0.442 0.675
Pb 0.698 0.698 0.906
Te 0.190 0.190 0.431
Pr 0.947 0.947 0.159


[21]
Here is a relaxed structure of PrHoTlPb from Alexandria via LeMat-Bulk. Energies are from PBE.

Values from the calculation:
The energy of formation from the pure elements comes out at -40.13 kJ per mole of atoms. As for the space-group type: I-4m2. The calculation puts the volume at 29.0 A^3/atom. Its relative energy among the computed polymorphs is 0 meV/atom.

Unit cell a=5.084 b=5.084 c=5.744 alpha=116.24 beta=116.26 gamma=90.00
Fractional coordinates of all 4 atoms:
Tl 0.500 0.500 0.000
Pr 0.750 0.250 0.500
Pb 0.000 0.000 0.000
Ho 0.250 0.750 0.500


[22]
Here is a relaxed structure of PrHoTlPb from Alexandria via LeMat-Bulk. Energies are from PBE.

Values from the calculation:
The energy of formation from the pure elements comes out at -36.68 kJ per mole of atoms. As for the space-group type: F-43m. The calculation puts the volume at 29.3 A^3/atom. Its relative energy among the computed polymorphs is 36 meV/atom.

Unit cell a=5.492 b=5.492 c=5.492 alpha=60.00 beta=60.00 gamma=60.00
Fractional coordinates of all 4 atoms:
Pb 0.500 0.500 0.500
Ho 0.250 0.250 0.250
Tl 0.000 0.000 0.000
Pr 0.750 0.750 0.750


[23]
Here is a relaxed structure of Ho3Pt2Pb from Alexandria via LeMat-Bulk. Energies are from PBE.

Values from the calculation:
The energy of formation from the pure elements comes out at -95.09 kJ per mole of atoms. As for the space-group type: P4/mmm. The calculation puts the volume at 23.6 A^3/atom.

Unit cell a=3.501 b=3.501 c=11.574 alpha=90.00 beta=90.00 gamma=90.00
Fractional coordinates of all 6 atoms:
Pt 0.500 0.500 0.848
Pt 0.500 0.500 0.152
Ho 0.000 0.000 0.293
Ho 0.000 0.000 0.000
Ho 0.000 0.000 0.707
Pb 0.500 0.500 0.500


[24]
Here is a relaxed structure of Ho4PtPb from Alexandria via LeMat-Bulk. Energies are from PBE.

Values from the calculation:
The energy of formation from the pure elements comes out at -57.97 kJ per mole of atoms. As for the space-group type: C2/c. The calculation puts the volume at 28.4 A^3/atom.

Unit cell a=6.193 b=8.498 c=8.101 alpha=114.78 beta=103.75 gamma=106.00
Fractional coordinates of all 12 atoms:
Ho 0.367 0.941 0.656
Ho 0.959 0.789 0.144
Ho 0.633 0.059 0.344
Ho 0.041 0.211 0.856
Ho 0.789 0.715 0.656
Ho 0.315 0.645 0.856
Ho 0.685 0.355 0.144
Ho 0.211 0.285 0.344
Pt 0.251 0.001 0.002
Pt 0.749 0.999 0.998
Pb 0.379 0.629 0.257
Pb 0.621 0.371 0.743


Going through the records in order, we get total DFT energy (no corrections) values of -56.022 -56.382 -27.969 -56.759 -51.644 -18.140 -73.211 -47.082 -18.647 -18.220 -57.550 -18.626 -55.544 -54.926 -64.511 -18.783 -28.949 -18.358 -55.590 -20.068 -17.096 -16.953 -35.437 -63.331 eV for the cell shown.